! Pm6Co3O14, optimized geometry, DFT PBE+U; values from VASP
! Uncorrected energy in eV/atom: -7.377
&SYSTEM
  ibrav = 0, nat = 23, ntyp = 3
/
ATOMIC_SPECIES
Pm 145.00 Pm.upf
Co 58.93 Co.upf
O 16.00 O.upf
CELL_PARAMETERS angstrom
5.0796 0.0000 0.0000
0.0000 7.2847 -4.2058
0.0000 0.0000 8.4117
ATOMIC_POSITIONS angstrom
Pm 1.2990 5.7842 -2.6106
Pm 1.2990 6.6535 2.1087
Pm 1.2990 2.1318 0.5019
Pm 3.9503 3.9534 2.5064
Pm 3.9503 3.1375 6.3764
Pm 3.9503 0.1939 3.7348
Co 4.1421 0.0000 0.0000
Co 1.7041 2.4282 4.2059
Co 2.3018 4.8565 0.0000
O 4.9924 0.5298 1.5938
O 4.9924 5.6395 3.8678
O 4.9924 1.1154 7.1559
O 2.5557 1.9058 2.7395
O 2.5557 3.9593 4.4866
O 2.5557 1.4196 5.3914
O 2.3119 0.0000 0.0000
O 5.0089 2.4282 4.2059
O 3.4456 5.4711 -1.6040
O 3.4456 5.9383 1.3342
O 3.4456 3.1601 0.2698
O 1.1930 4.2688 1.6109
O 1.1930 3.7552 -1.3144
O 1.1930 6.5454 -0.2965